(1)
The following is a DFT calculation (SCAN) of ZrAgSeCl2 at its PBEsol-relaxed geometry.

Calculated values
As for the formation energy from raw total energies: 0.02 eV/atom. The size of the total moment comes out at 1.30 μB/f.u. For the total energy, the calculation gives -19.6035 eV/atom.

Lattice parameters (Å, degrees): 4.534 4.534 5.944 90.00 90.00 90.00
Space group P4/mmm (No. 123)
Unique sites:
Zr  0.000  0.000  0.000 x1
Ag  0.000  0.000  0.500 x1
Se  0.500  0.500  0.000 x1
Cl  0.000  0.500  0.500 x2

(2)
The following is a DFT calculation (SCAN) of Tm2AgRu at its PBEsol-relaxed geometry.

Calculated values
The value obtained for the formation energy from the elements is -2.0 eV per formula unit. The size of the total moment comes out at 0.00 μB/f.u. For the total energy, the calculation gives -42.9700 eV/atom.

Lattice parameters (Å, degrees): 6.796 6.796 6.796 90.00 90.00 90.00
Space group Fm-3m (No. 225)
Unique sites:
Tm  0.250  0.250  0.250 x8
Ag  0.000  0.000  0.000 x4
Ru  0.000  0.000  0.500 x4

(3)
The following is a DFT calculation (SCAN) of CrRu2Se at its PBEsol-relaxed geometry.

Calculated values
As for the formation energy from raw total energies: 0.24 eV/atom. The size of the total moment comes out at 2.03 μB/f.u. For the total energy, the calculation gives -26.7915 eV/atom.

Lattice parameters (Å, degrees): 2.863 3.723 5.171 90.00 90.00 90.00
Space group Pmm2 (No. 25)
Unique sites:
Cr  0.000  0.000  0.000 x1
Ru  0.000  0.000  0.494 x1
Ru  0.500  0.500  0.174 x1
Se  0.500  0.500  0.690 x1

(4)
The following is a DFT calculation (SCAN) of Ca2MgAu at its PBEsol-relaxed geometry.

Calculated values
The value obtained for the formation energy from the elements is -1.6 eV per formula unit. The size of the total moment comes out at 0.00 μB/f.u. For the total energy, the calculation gives -23.7632 eV/atom.

Lattice parameters (Å, degrees): 3.9960 3.9960 26.4557 90.00 90.00 120.00
Space group R-3m (No. 166, hexagonal axes)
Unique sites:
Ca  0.0000  0.0000  0.2337 x6
Mg  0.0000  0.0000  0.0000 x3
Au  0.0000  0.0000  0.5000 x3

(5)
The following is a DFT calculation (SCAN) of NiSb2TeO at its PBEsol-relaxed geometry.

Calculated values
As for the formation energy from raw total energies: 0.63 eV/atom. The size of the total moment comes out at 1.78 μB/f.u. For the total energy, the calculation gives -26.2006 eV/atom.

Lattice parameters (Å, degrees): 4.814 4.814 4.938 90.00 90.00 90.00
Space group P4/mmm (No. 123)
Unique sites:
Ni  0.000  0.000  0.000 x1
Sb  0.000  0.500  0.000 x2
Te  0.000  0.000  0.500 x1
O  0.500  0.500  0.500 x1

(6)
The following is a DFT calculation (SCAN) of MnFe2Cu at its PBEsol-relaxed geometry.

Calculated values
The value obtained for the formation energy from the elements is 0.5 eV per formula unit. The size of the total moment comes out at 5.77 μB/f.u. For the total energy, the calculation gives -17.2930 eV/atom.

Lattice parameters (Å, degrees): 2.811 3.876 7.965 90.00 90.00 90.00
Space group Cmmm (No. 65)
Unique sites:
Mn  0.000  0.000  0.000 x2
Fe  0.000  0.500  0.244 x4
Cu  0.000  0.000  0.500 x2

(7)
The following is a DFT calculation (SCAN) of MoRuW3 at its PBEsol-relaxed geometry.

Calculated values
The value obtained for the formation energy from the elements is 10.7 eV per formula unit. The size of the total moment comes out at 0.00 μB/f.u. For the total energy, the calculation gives -53.6073 eV/atom.

Lattice parameters (Å, degrees): 4.573 4.573 4.573 90.00 90.00 90.00
Space group Pm-3m (No. 221)
Unique sites:
Mo  0.000  0.000  0.000 x1
Ru  0.500  0.500  0.500 x1
W  0.000  0.500  0.500 x3

(8)
The following is a DFT calculation (SCAN) of InAgP2 at its PBEsol-relaxed geometry.

Calculated values
The value obtained for the formation energy from the elements is 2.2 eV per formula unit. The size of the total moment comes out at 0.00 μB/f.u. For the total energy, the calculation gives -20.8307 eV/atom.

Lattice parameters (Å, degrees): 3.873 3.873 9.566 90.00 90.00 90.00
Space group I-4m2 (No. 119)
Unique sites:
In  0.000  0.000  0.000 x2
Ag  0.000  0.500  0.750 x2
P  0.000  0.000  0.500 x2
P  0.000  0.500  0.250 x2